## one
The following is a DFT calculation (PBE) of a relaxed Cs2RbSbCl6 crystal.

Values from the calculation:
* crystal system: cubic
* volume: 39.052 Å³/atom

Unit cell a=8.205 b=8.205 c=8.205 alpha=60.00 beta=60.00 gamma=60.00
Atoms (fractional coordinates):
Cs1 0.750 0.750 0.750
Cs2 0.250 0.250 0.250
Rb1 0.500 0.500 0.500
Sb1 0.000 0.000 0.000
Cl1 0.770 0.230 0.230
Cl2 0.230 0.230 0.770
Cl3 0.230 0.770 0.770
Cl4 0.230 0.770 0.230
Cl5 0.770 0.230 0.770
Cl6 0.770 0.770 0.230

---

## two
The following is a DFT calculation (PBE) of a relaxed Cs2RbSbCl6 crystal.

Values from the calculation:
* crystal system: monoclinic
* volume: 38.278 Å³/atom

Unit cell a=8.004 b=8.334 c=11.476 alpha=90.00 beta=90.27 gamma=90.00
Atoms (fractional coordinates):
Cs1 0.017 0.939 0.249
Cs2 0.517 0.561 0.749
Cs3 0.983 0.061 0.751
Cs4 0.483 0.439 0.251
Rb1 0.500 0.000 0.000
Rb2 0.000 0.500 0.500
Sb1 0.500 0.000 0.500
Sb2 0.000 0.500 0.000
Cl1 0.272 0.680 0.043
Cl2 0.772 0.820 0.543
Cl3 0.728 0.320 0.957
Cl4 0.228 0.180 0.457
Cl5 0.326 0.732 0.451
Cl6 0.826 0.768 0.951
Cl7 0.674 0.268 0.549
Cl8 0.174 0.232 0.049
Cl9 0.913 0.526 0.224
Cl10 0.413 0.974 0.724
Cl11 0.087 0.474 0.776
Cl12 0.587 0.026 0.276

---

Least stable: one